# 1
Here is an optimized crystal structure of Dy8ErSc4 from the Alexandria database. Energies are from GGA-PBE.

Total magnetization in μB per formula unit: 0.00
Energy relative to the lowest polymorph listed for this composition in eV per formula unit: 0.28

Lattice parameters (Å, degrees): 6.9673 6.9673 27.6155 90.00 90.00 120.00
Closest atoms and distances in Å follow each position.
Space group R-3m (No. 166, hexagonal axes)
One atom of each set of equivalent atoms:
Dy1 0.0000 0.0000 0.2123 (multiplicity 6)  9 Dy 3.57-3.77, 3 Sc 3.90
Dy2 0.0251 0.5126 0.7604 (multiplicity 18)  1 Er 2.96, 1 Sc 3.19, 2 Dy 3.22
Er1 0.0000 0.0000 0.5000 (multiplicity 3)  6 Dy 2.96
Sc1 0.0000 0.0000 0.0000 (multiplicity 3)  6 Dy 3.19, 6 Sc 3.48
Sc2 0.0000 0.5000 0.0000 (multiplicity 9)  4 Dy 3.33, 6 Sc 3.48

***

# 2
Here is an optimized crystal structure of Tb5ScAl6 from the Alexandria database. Energies are from GGA-PBE.

Total magnetization in μB per formula unit: 0.00
Total DFT energy (no corrections) in eV per atom: -4.727

Lattice parameters (Å, degrees): 16.0551 7.0942 5.0821 90.00 108.17 90.00
Closest atoms and distances in Å follow each position.
Space group C2/m (No. 12)
One atom of each set of equivalent atoms:
Tb1 0.0000 0.0000 0.0000 (multiplicity 2)  8 Al 3.08-3.20
Tb2 0.1628 0.0000 0.6634 (multiplicity 4)  8 Al 3.15-3.17
Tb3 0.1742 0.5000 0.6752 (multiplicity 4)  8 Al 3.05-3.13
Sc1 0.0000 0.5000 0.0000 (multiplicity 2)  8 Al 2.98-3.00
Al1 0.0000 0.2745 0.5000 (multiplicity 4)  2 Sc 3.00, 6 Tb 3.10-3.20, 1 Al 3.20
Al2 0.1611 0.2627 0.1624 (multiplicity 8)  1 Sc 2.98, 7 Tb 3.05-3.17

***

# 3
Here is an optimized crystal structure of DyNpSc from the Alexandria database. Energies are from GGA-PBE.

Total magnetization in μB per formula unit: 0.00
Total DFT energy (no corrections) in eV per atom: -7.754

Lattice parameters (Å, degrees): 15.6896 3.4901 5.6489 90.00 95.03 90.00
Closest atoms and distances in Å follow each position.
Space group C2/m (No. 12)
One atom of each set of equivalent atoms:
Dy1 0.0997 0.0000 0.3461 (multiplicity 4)  3 Np 3.31-3.49, 6 Sc 3.33-3.44, 2 Dy 3.49
Np1 0.2426 0.0000 0.8553 (multiplicity 4)  2 Np 2.39
Sc1 0.0823 0.5000 0.8425 (multiplicity 4)  3 Np 3.06-3.10, 1 Sc 3.26, 4 Dy 3.33

***

# 4
Here is an optimized crystal structure of ZnRuSe2 from the Alexandria database. Energies are from GGA-PBE.

Total magnetization in μB per formula unit: 0.00
Total DFT energy (no corrections) in eV per atom: -4.475

Lattice parameters (Å, degrees): 5.7882 5.7882 10.7571 90.00 90.00 90.00
Closest atoms and distances in Å follow each position.
Space group I-42d (No. 122)
One atom of each set of equivalent atoms:
Zn1 0.0000 0.0000 0.0000 (multiplicity 4)  4 Se 2.50
Ru1 0.0000 0.0000 0.5000 (multiplicity 4)  4 Se 2.40
Se1 0.2365 0.2500 0.6250 (multiplicity 8)  2 Ru 2.40, 2 Zn 2.50

***

# 5
Here is an optimized crystal structure of BeOsRu2 from the Alexandria database. Energies are from GGA-PBE.

Total magnetization in μB per formula unit: 1.61
Total DFT energy (no corrections) in eV per atom: -8.087

Lattice parameters (Å, degrees): 5.9559 5.9559 5.9559 90.00 90.00 90.00
Closest atoms and distances in Å follow each position.
Space group F-43m (No. 216)
One atom of each set of equivalent atoms:
Be1 0.0000 0.0000 0.0000 (multiplicity 4)  4 Ru 2.58, 4 Os 2.58
Os1 0.2500 0.2500 0.7500 (multiplicity 4)  4 Ru 2.58, 4 Be 2.58
Ru1 0.0000 0.0000 0.5000 (multiplicity 4)  4 Os 2.58, 4 Ru 2.58
Ru2 0.2500 0.2500 0.2500 (multiplicity 4)  4 Ru 2.58, 4 Be 2.58

***

# 6
Here is an optimized crystal structure of Tb5Er8Mg from the Alexandria database. Energies are from GGA-PBE.

Total magnetization in μB per formula unit: 0.00
Total DFT energy (no corrections) in eV per atom: -4.142

Lattice parameters (Å, degrees): 9.5144 9.5144 9.8759 90.00 90.00 90.00
Closest atoms and distances in Å follow each position.
Space group I-4 (No. 82)
One atom of each set of equivalent atoms:
Tb1 0.0000 0.0000 0.0000 (multiplicity 2)  8 Er 3.10-3.30
Tb2 0.1047 0.7901 0.4204 (multiplicity 8)  8 Er 3.31-3.55, 2 Tb 3.53
Er1 0.0692 0.6740 0.0922 (multiplicity 8)  5 Tb 3.30-3.55, 4 Er 3.56-3.62
Er2 0.0888 0.8190 0.7537 (multiplicity 8)  4 Tb 3.10-3.42, 1 Mg 3.15
Mg1 0.0000 0.5000 0.7500 (multiplicity 2)  4 Er 3.15

***

# 7
Here is an optimized crystal structure of Zn2CrTc from the Alexandria database. Energies are from GGA-PBE.

Total magnetization in μB per formula unit: 0.20
Energy relative to the lowest polymorph listed for this composition in eV per formula unit: 0.73

Lattice parameters (Å, degrees): 3.1406 4.0626 8.5588 90.00 90.00 90.00
Closest atoms and distances in Å follow each position.
Space group Cmmm (No. 65)
One atom of each set of equivalent atoms:
Zn1 0.0000 0.0000 0.2420 (multiplicity 4)  4 Zn 2.57, 2 Cr 2.60, 2 Tc 2.71
Cr1 0.0000 0.5000 0.0000 (multiplicity 2)  4 Cr 2.57, 4 Zn 2.60
Tc1 0.0000 0.5000 0.5000 (multiplicity 2)  4 Tc 2.57, 4 Zn 2.71

***

# 8
Here is an optimized crystal structure of SrCrCd3 from the Alexandria database. Energies are from GGA-PBE.

Total magnetization in μB per formula unit: 3.83
Energy relative to the lowest polymorph listed for this composition in eV per formula unit: 0.00

Lattice parameters (Å, degrees): 5.2785 5.2785 5.2785 90.00 90.00 90.00
Closest atoms and distances in Å follow each position.
Space group Pm-3m (No. 221)
One atom of each set of equivalent atoms:
Sr1 0.0000 0.0000 0.0000 (multiplicity 1)  12 Cd 3.73
Cr1 0.5000 0.5000 0.5000 (multiplicity 1)  6 Cd 2.64
Cd1 0.0000 0.5000 0.5000 (multiplicity 3)  2 Cr 2.64

***

# 9
Here is an optimized crystal structure of TlFe2Ag from the Alexandria database. Energies are from GGA-PBE.

Total magnetization in μB per formula unit: 5.29
Energy relative to the lowest polymorph listed for this composition in eV per formula unit: 0.86

Lattice parameters (Å, degrees): 6.3918 6.3918 6.3918 90.00 90.00 90.00
Closest atoms and distances in Å follow each position.
Space group Fm-3m (No. 225)
One atom of each set of equivalent atoms:
Tl1 0.0000 0.0000 0.0000 (multiplicity 4)  8 Fe 2.77
Fe1 0.2500 0.2500 0.2500 (multiplicity 8)  4 Tl 2.77, 4 Ag 2.77
Ag1 0.0000 0.0000 0.5000 (multiplicity 4)  8 Fe 2.77

***

# 10
Here is an optimized crystal structure of NdMgCdCu from the Alexandria database. Energies are from GGA-PBE.

Total magnetization in μB per formula unit: 0.00
Total DFT energy (no corrections) in eV per atom: -3.057

Lattice parameters (Å, degrees): 7.0941 7.0941 7.0941 90.00 90.00 90.00
Closest atoms and distances in Å follow each position.
Space group F-43m (No. 216)
One atom of each set of equivalent atoms:
Nd1 0.0000 0.0000 0.0000 (multiplicity 4)  4 Cd 3.07, 4 Cu 3.07
Mg1 0.0000 0.0000 0.5000 (multiplicity 4)  4 Cu 3.07, 4 Cd 3.07
Cd1 0.2500 0.2500 0.7500 (multiplicity 4)  4 Mg 3.07, 4 Nd 3.07
Cu1 0.2500 0.2500 0.2500 (multiplicity 4)  4 Nd 3.07, 4 Mg 3.07

***

# 11
Here is an optimized crystal structure of BaZrFe2Cu from the Alexandria database. Energies are from GGA-PBE.

Total magnetization in μB per formula unit: 3.35
Total DFT energy (no corrections) in eV per atom: -4.865

Lattice parameters (Å, degrees): 4.7156 4.7156 6.3502 90.00 90.00 90.00
Closest atoms and distances in Å follow each position.
Space group P4/mmm (No. 123)
One atom of each set of equivalent atoms:
Ba1 0.0000 0.0000 0.0000 (multiplicity 1)  2 Zr 3.18, 4 Cu 3.33
Zr1 0.0000 0.0000 0.5000 (multiplicity 1)  4 Fe 2.36
Fe1 0.0000 0.5000 0.5000 (multiplicity 2)  2 Zr 2.36
Cu1 0.5000 0.5000 0.0000 (multiplicity 1)  4 Ba 3.33

***

# 12
Here is an optimized crystal structure of MnCu3S4 from the Alexandria database. Energies are from GGA-PBE.

Total magnetization in μB per formula unit: 2.01
Total DFT energy (no corrections) in eV per atom: -5.096

Lattice parameters (Å, degrees): 7.3777 6.3790 6.2806 90.00 90.00 90.00
Closest atoms and distances in Å follow each position.
Space group Pmn2_1 (No. 31)
One atom of each set of equivalent atoms:
Mn1 0.0000 0.1699 0.0000 (multiplicity 2)  4 S 2.20-2.21
Cu1 0.0000 0.8282 0.2552 (multiplicity 2)  4 S 2.26-2.29
Cu2 0.2412 0.6641 0.7529 (multiplicity 4)  4 S 2.27-2.29
S1 0.0000 0.1700 0.3497 (multiplicity 2)  1 Mn 2.20, 3 Cu 2.26-2.27
S2 0.0000 0.8413 0.8926 (multiplicity 2)  1 Mn 2.20, 3 Cu 2.28
S3 0.2471 0.3327 0.8910 (multiplicity 4)  1 Mn 2.21, 3 Cu 2.27-2.29

***

# 13
Here is an optimized crystal structure of Tl5Ag3Cl12 from the Alexandria database. Energies are from GGA-PBE.

Total magnetization in μB per formula unit: 0.00
Total DFT energy (no corrections) in eV per atom: -2.654

Lattice parameters (Å, degrees): 17.3735 17.3735 17.3735 90.00 90.00 90.00
Closest atoms and distances in Å follow each position.
Space group Ia-3d (No. 230)
One atom of each set of equivalent atoms:
Tl1 0.0000 0.0000 0.0000 (multiplicity 16)  6 Cl 3.08
Tl2 0.0000 0.2500 0.3750 (multiplicity 24)  4 Cl 2.63
Ag1 0.0000 0.2500 0.1250 (multiplicity 24)  8 Cl 3.04-3.36
Cl1 0.0153 0.0614 0.6656 (multiplicity 96)  1 Tl 2.63

***

# 14
Here is an optimized crystal structure of Dy5Y3Tm2 from the Alexandria database. Energies are from GGA-PBE.

Total magnetization in μB per formula unit: 0.00
Total DFT energy (no corrections) in eV per atom: -4.932

Lattice parameters (Å, degrees): 10.6445 15.6936 9.4666 90.00 124.18 90.00
Closest atoms and distances in Å follow each position.
Space group C2/c (No. 15)
One atom of each set of equivalent atoms:
Dy1 0.0000 0.0317 0.2500 (multiplicity 4)  3 Dy 3.12-3.43, 4 Tm 3.30-3.38, 2 Y 3.42
Dy2 0.0000 0.2303 0.2500 (multiplicity 4)  1 Dy 3.12, 2 Y 3.29
Dy3 0.0000 0.4685 0.7500 (multiplicity 4)  5 Y 3.17-3.39, 2 Tm 3.36, 2 Dy 3.45
Dy4 0.2442 0.1074 0.7417 (multiplicity 8)  3 Dy 3.43-3.70, 3 Tm 3.50-3.83, 3 Y 3.51-3.64
Y1 0.0000 0.2665 0.7500 (multiplicity 4)  1 Dy 3.17, 2 Tm 3.31
Y2 0.1456 0.3802 0.5445 (multiplicity 8)  1 Tm 3.19, 6 Dy 3.29-3.57
Tm1 0.1510 0.1168 0.0485 (multiplicity 8)  2 Y 3.19-3.31, 5 Dy 3.30-3.56

***

# 15
Here is an optimized crystal structure of Be5Hg from the Alexandria database. Energies are from GGA-PBE.

Total magnetization in μB per formula unit: 0.00
Energy relative to the lowest polymorph listed for this composition in eV per formula unit: 0.47

Lattice parameters (Å, degrees): 8.5493 2.6868 5.8438 90.00 102.22 90.00
Closest atoms and distances in Å follow each position.
Space group Cm (No. 8)
One atom of each set of equivalent atoms:
Be1 0.0000 0.0000 0.0000 (multiplicity 2)  4 Be 2.20-2.24
Be2 0.0127 0.0000 0.4582 (multiplicity 2)  6 Be 2.20-2.31
Be3 0.1538 0.5000 0.2604 (multiplicity 2)  9 Be 2.24-2.39
Be4 0.3077 0.0000 0.5246 (multiplicity 2)  5 Be 2.11-2.31
Be5 0.3721 0.0000 0.1951 (multiplicity 2)  6 Be 2.11-2.36
Hg1 0.2004 0.5000 0.8246 (multiplicity 2)  10 Be 2.53-2.74, 2 Hg 2.69

***

# 16
Here is an optimized crystal structure of Cu3RhBr from the Alexandria database. Energies are from GGA-PBE.

Total magnetization in μB per formula unit: 0.00
Energy relative to the lowest polymorph listed for this composition in eV per formula unit: 1.11

Lattice parameters (Å, degrees): 4.5160 4.5160 4.5160 90.00 90.00 90.00
Closest atoms and distances in Å follow each position.
Space group Pm-3m (No. 221)
One atom of each set of equivalent atoms:
Cu1 0.0000 0.0000 0.5000 (multiplicity 3)  2 Br 2.26
Rh1 0.5000 0.5000 0.5000 (multiplicity 1)  12 Cu 3.19
Br1 0.0000 0.0000 0.0000 (multiplicity 1)  6 Cu 2.26

***

# 17
Here is an optimized crystal structure of CsRe3Te from the Alexandria database. Energies are from GGA-PBE.

Total magnetization in μB per formula unit: 2.38
Total DFT energy (no corrections) in eV per atom: -4.249

Lattice parameters (Å, degrees): 4.9691 4.9691 4.9691 90.00 90.00 90.00
Closest atoms and distances in Å follow each position.
Space group Pm-3m (No. 221)
One atom of each set of equivalent atoms:
Cs1 0.0000 0.0000 0.0000 (multiplicity 1)  6 Re 2.48
Re1 0.0000 0.0000 0.5000 (multiplicity 3)  2 Cs 2.48
Te1 0.5000 0.5000 0.5000 (multiplicity 1)  12 Re 3.51

***

# 18
Here is an optimized crystal structure of NaHgCl from the Alexandria database. Energies are from GGA-PBE.

Total magnetization in μB per formula unit: 0.00
Energy relative to the lowest polymorph listed for this composition in eV per formula unit: 0.00

Lattice parameters (Å, degrees): 8.0001 4.6494 11.9447 90.00 101.92 90.00
Closest atoms and distances in Å follow each position.
Space group C2/m (No. 12)
One atom of each set of equivalent atoms:
Na1 0.2014 0.0000 0.1116 (multiplicity 4)  4 Cl 2.68-2.81
Hg1 0.1936 0.5000 0.5857 (multiplicity 4)  3 Hg 3.34, 1 Na 3.54
Cl1 0.1276 0.0000 0.8712 (multiplicity 4)  4 Na 2.68-2.81

***

# 19
Here is an optimized crystal structure of ReSnBr3 from the Alexandria database. Energies are from GGA-PBE.

Total magnetization in μB per formula unit: 2.53
Energy relative to the lowest polymorph listed for this composition in eV per formula unit: 0.00

Lattice parameters (Å, degrees): 5.1551 5.1551 5.1551 90.00 90.00 90.00
Closest atoms and distances in Å follow each position.
Space group Pm-3m (No. 221)
One atom of each set of equivalent atoms:
Re1 0.0000 0.0000 0.0000 (multiplicity 1)  6 Br 2.58
Sn1 0.5000 0.5000 0.5000 (multiplicity 1)  12 Br 3.65
Br1 0.0000 0.0000 0.5000 (multiplicity 3)  2 Re 2.58

***

# 20
Here is an optimized crystal structure of Ba8Sb5I from the Alexandria database. Energies are from GGA-PBE.

Total magnetization in μB per formula unit: 0.00
Total DFT energy (no corrections) in eV per atom: -3.850

Lattice parameters (Å, degrees): 10.6193 10.6193 10.6001 90.00 90.00 90.00
Closest atoms and distances in Å follow each position.
Space group I-4 (No. 82)
One atom of each set of equivalent atoms:
Ba1 0.0704 0.3129 0.0665 (multiplicity 8)  4 Sb 3.45-3.80
Ba2 0.0758 0.1684 0.6943 (multiplicity 8)  5 Sb 3.49-3.79, 1 I 3.66
Sb1 0.0000 0.0000 0.0000 (multiplicity 2)  8 Ba 3.48-3.79
Sb2 0.1306 0.2474 0.3792 (multiplicity 8)  7 Ba 3.45-3.80
I1 0.0000 0.5000 0.7500 (multiplicity 2)  8 Ba 3.66-3.97